VASP calculation (PBE-GGA) on an optimized crystal structure of GaW2C.

```
GaW2C
1.0
4.9375 0.0000 0.0000
0.0000 4.9375 0.0000
2.4687 2.4687 5.7934
W C Ga
4 2 2
Direct
0.8750 0.7556 0.7500
0.2444 0.6250 0.2500
0.5056 0.1250 0.2500
0.3750 0.4944 0.7500
0.5000 0.5000 0.0000
0.2500 0.7500 0.5000
0.7500 0.2500 0.5000
0.0000 0.0000 0.0000
```

theoretical density = 10.6 Mg/m³
energy of formation from the pure elements = 1078 meV/atom
total energy = -33.8 eV/f.u.
ΔE to the lowest computed polymorph = 984 meV per atom
spin magnetization = 0.000 μB/atom

=====

VASP calculation (PBE-GGA) on an optimized crystal structure of GaW2C.

```
GaW2C
1.0
2.9970 0.0000 0.0000
1.4985 2.5955 0.0000
1.4985 0.8652 7.0129
W Ga C
2 1 1
Direct
0.2744 0.2744 0.1767
0.7256 0.7256 0.8233
0.5000 0.5000 0.5000
0.0000 0.0000 0.0000
```

theoretical density = 13.7 Mg/m³
energy of formation from the pure elements = 162 meV/atom
total energy = -37.5 eV/f.u.
ΔE to the lowest computed polymorph = 69 meV per atom
spin magnetization = 0.000 μB/atom

=====

VASP calculation (PBE-GGA) on an optimized crystal structure of GaWC2.

```
GaWC2
1.0
-0.3865 1.3376 4.5693
3.2036 -3.3182 1.2424
4.8269 2.0816 2.2957
C W Ga
4 2 2
Direct
0.1114 0.6250 0.2500
0.8750 0.8886 0.7500
0.6386 0.1250 0.2500
0.3750 0.3614 0.7500
0.0000 0.0000 0.0000
0.7500 0.2500 0.5000
0.2500 0.7500 0.5000
0.5000 0.5000 0.0000
```

theoretical density = 8.7 Mg/m³
energy of formation from the pure elements = 609 meV/atom
total energy = -32.0 eV/f.u.
spin magnetization = 0.000 μB/atom